ErB2Os: optimized geometry, PBE.

Calculated values
E above lowest polymorph = 399 meV/atom
Crystal system = orthorhombic
Total moment = 0.01 μB per cell

Cell: 3.464 11.327 5.213 Å, 90.00 90.00 90.00°
Space group Cmcm (No. 63)
One atom of each set of equivalent atoms:
1 Er 0.000 0.056 0.250
2 B 0.000 0.361 0.077
3 Os 0.000 0.223 0.750

***

Sc3CuAs: optimized geometry, PBE.

Calculated values
E above lowest polymorph = 0 meV/atom
Crystal system = cubic
Total moment = 0.00 μB per cell

Cell: 4.865 4.865 4.865 Å, 90.00 90.00 90.00°
Space group Pm-3m (No. 221)
One atom of each set of equivalent atoms:
1 Sc 0.000 0.000 0.500
2 Cu 0.000 0.000 0.000
3 As 0.500 0.500 0.500

***

SrHoP2Pt4: optimized geometry, PBE.

Calculated values
E_tot = -0.444 Ry/atom
Crystal system = tetragonal
Total moment = 0.00 μB per cell

Cell: 4.085 4.085 9.881 Å, 90.00 90.00 90.00°
Space group P4/mmm (No. 123)
One atom of each set of equivalent atoms:
1 Sr 0.000 0.000 0.000
2 Ho 0.000 0.000 0.500
3 P 0.500 0.500 0.167
4 Pt 0.000 0.500 0.287

***

Be4Ir3Rh: optimized geometry, PBE.

Calculated values
E_tot = -0.490 Ry/atom
Crystal system = tetragonal
Total moment = 0.00 μB per cell

Cell: 2.802 2.802 11.208 Å, 90.00 90.00 90.00°
Space group P4/mmm (No. 123)
One atom of each set of equivalent atoms:
1 Be 0.000 0.000 0.126
2 Be 0.000 0.000 0.374
3 Ir 0.500 0.500 0.000
4 Ir 0.500 0.500 0.250
5 Rh 0.500 0.500 0.500

***

Sr2TbCeO6: optimized geometry, PBE.

Calculated values
E_tot = -0.539 Ry/atom
Crystal system = monoclinic
Total moment = 2.15 μB per cell

Cell: 6.029 6.191 10.522 Å, 90.00 124.89 90.00°
Space group P2_1/c (No. 14)
One atom of each set of equivalent atoms:
1 Sr 0.234 0.048 0.250
2 Tb 0.000 0.000 0.500
3 Ce 0.500 0.000 0.000
4 O 0.148 0.203 0.942
5 O 0.240 0.708 0.941
6 O 0.360 0.046 0.752

***

BaGa3Cu: optimized geometry, PBE.

Calculated values
E_tot = -0.126 Ry/atom
Crystal system = cubic
Total moment = 0.00 μB per cell

Cell: 6.066 6.066 6.066 Å, 90.00 90.00 90.00°
Space group Pm-3m (No. 221)
One atom of each set of equivalent atoms:
1 Ba 0.000 0.000 0.000
2 Ga 0.000 0.000 0.500
3 Cu 0.500 0.500 0.500

***

PrHo2Tm6: optimized geometry, PBE.

Calculated values
E above lowest polymorph = 0 meV/atom
Crystal system = triclinic
Total moment = 0.00 μB per cell

Cell: 3.531 5.564 14.656 Å, 100.91 96.80 90.00°
Space group P-1 (No. 2)
One atom of each set of equivalent atoms:
1 Pr 0.000 0.000 0.000
2 Ho 0.160 0.660 0.321
3 Tm 0.232 0.231 0.463
4 Tm 0.377 0.878 0.755
5 Tm 0.445 0.443 0.887

***

Ca5Se2N2: optimized geometry, PBE.

Calculated values
E_tot = -0.368 Ry/atom
Crystal system = monoclinic
Total moment = 0.00 μB per cell

Cell: 13.378 4.748 7.653 Å, 90.00 124.56 90.00°
Space group C2/m (No. 12)
One atom of each set of equivalent atoms:
1 Ca 0.000 0.000 0.000
2 Ca 0.117 0.000 0.725
3 Ca 0.151 0.500 0.389
4 Se 0.124 0.500 0.963
5 N 0.115 0.000 0.418

***

PmErHfTh: optimized geometry, PBE.

Calculated values
E_tot = -0.475 Ry/atom
Crystal system = cubic
Total moment = 0.00 μB per cell

Cell: 7.754 7.754 7.754 Å, 90.00 90.00 90.00°
Space group F-43m (No. 216)
One atom of each set of equivalent atoms:
1 Pm 0.000 0.000 0.000
2 Er 0.250 0.250 0.750
3 Hf 0.250 0.250 0.250
4 Th 0.000 0.000 0.500

***

SrSiMo: optimized geometry, PBE.

Calculated values
E_tot = -0.432 Ry/atom
Crystal system = tetragonal
Total moment = 0.00 μB per cell

Cell: 3.455 3.455 11.316 Å, 90.00 90.00 90.00°
Space group I4mm (No. 107)
One atom of each set of equivalent atoms:
1 Sr 0.000 0.000 0.000
2 Si 0.000 0.000 0.271
3 Mo 0.000 0.000 0.723

***

Sn3SbH: optimized geometry, PBE.

Calculated values
E above lowest polymorph = 823 meV/atom
Crystal system = cubic
Total moment = 0.53 μB per cell

Cell: 5.851 5.851 5.851 Å, 90.00 90.00 90.00°
Space group Pm-3m (No. 221)
One atom of each set of equivalent atoms:
1 Sn 0.000 0.000 0.500
2 Sb 0.000 0.000 0.000
3 H 0.500 0.500 0.500

***

Ti2PbBr: optimized geometry, PBE.

Calculated values
E above lowest polymorph = 306 meV/atom
Crystal system = tetragonal
Total moment = 11.59 μB per cell

Cell: 5.085 5.085 16.125 Å, 90.00 90.00 90.00°
Space group I-42d (No. 122)
One atom of each set of equivalent atoms:
1 Ti 0.189 0.250 0.125
2 Pb 0.000 0.000 0.500
3 Br 0.000 0.000 0.000